Density functional theory data (GGA+U) for YHo2WO8 after structural relaxation.

Cell and atoms, written as POSCAR:
```
YHo2WO8
1.0
5.042 -0.045 -0.003
-0.019 5.043 -0.006
0.004 0.008 6.812
Ho O W Y
2 8 1 1
direct
0.500 0.500 0.250
0.500 0.500 0.750
0.184 0.816 0.788
0.816 0.184 0.788
0.276 0.276 0.000
0.691 0.692 0.500
0.816 0.184 0.212
0.184 0.816 0.212
0.724 0.724 0.000
0.309 0.308 0.500
0.000 0.000 0.000
0.000 0.000 0.500
```

ρ ... 7.0 Mg/m³
Total energy ... -96.75 eV for the cell shown